VAgPW2: optimized geometry, GGA-PBE.

crystal system	tetragonal
energy of formation from the pure elements	1462	meV/atom

Lattice parameters (Å, degrees): 4.6226 4.6226 4.3264 90.00 90.00 90.00
Last column: nearest neighbours and their distance in Å.
Space group P4/mmm (No. 123)
Asymmetric unit:
V  0.0000  0.0000  0.0000  2 P 2.16, 4 W 2.31
Ag  0.5000  0.5000  0.5000  8 W 3.17, 4 P 3.27
P  0.0000  0.0000  0.5000  2 V 2.16
W  0.0000  0.5000  0.0000  2 V 2.31

VAg2PW: optimized geometry, GGA-PBE.

crystal system	tetragonal
energy of formation from the pure elements	1115	meV/atom

Lattice parameters (Å, degrees): 4.5372 4.5372 4.5987 90.00 90.00 90.00
Last column: nearest neighbours and their distance in Å.
Space group P4/mmm (No. 123)
Asymmetric unit:
V  0.0000  0.0000  0.0000  4 W 3.21, 8 Ag 3.23
Ag  0.0000  0.5000  0.5000  2 P 2.27
P  0.5000  0.5000  0.5000  4 Ag 2.27, 2 W 2.30
W  0.5000  0.5000  0.0000  2 P 2.30

AgPW: optimized geometry, GGA-PBE.

crystal system	trigonal
energy of formation from the pure elements	242	meV/atom
E above lowest polymorph	0.000	eV/atom

Lattice parameters (Å, degrees): 2.9967 2.9967 6.4168 90.00 90.00 120.00
Last column: nearest neighbours and their distance in Å.
Space group P3m1 (No. 156)
Asymmetric unit:
Ag  0.0000  0.0000  0.0000  3 P 2.91, 3 W 2.97, 6 Ag 3.00
P  0.6667  0.3333  0.3640  3 W 2.40
W  0.3333  0.6667  0.6239  3 P 2.40

AgP3W: optimized geometry, GGA-PBE.

crystal system	cubic
energy of formation from the pure elements	1906	meV/atom
E above lowest polymorph	1.289	eV/atom

Lattice parameters (Å, degrees): 4.6214 4.6214 4.6214 90.00 90.00 90.00
Last column: nearest neighbours and their distance in Å.
Space group Pm-3m (No. 221)
Asymmetric unit:
Ag  0.0000  0.0000  0.0000  6 P 2.31
P  0.0000  0.0000  0.5000  2 Ag 2.31
W  0.5000  0.5000  0.5000  12 P 3.27

AgP3W: optimized geometry, GGA-PBE.

crystal system	cubic
energy of formation from the pure elements	617	meV/atom
E above lowest polymorph	0.000	eV/atom

Lattice parameters (Å, degrees): 4.7188 4.7188 4.7188 90.00 90.00 90.00
Last column: nearest neighbours and their distance in Å.
Space group Pm-3m (No. 221)
Asymmetric unit:
Ag  0.0000  0.0000  0.0000  12 P 3.34
P  0.0000  0.5000  0.5000  2 W 2.36
W  0.5000  0.5000  0.5000  6 P 2.36

AgPW: optimized geometry, GGA-PBE.

crystal system	cubic
energy of formation from the pure elements	779	meV/atom
E above lowest polymorph	0.537	eV/atom

Lattice parameters (Å, degrees): 6.0314 6.0314 6.0314 90.00 90.00 90.00
Last column: nearest neighbours and their distance in Å.
Space group F-43m (No. 216)
Asymmetric unit:
Ag  0.0000  0.0000  0.0000  4 W 2.61
P  0.0000  0.0000  0.5000  4 W 2.61
W  0.2500  0.2500  0.2500  4 Ag 2.61, 4 P 2.61

AgPW4: optimized geometry, GGA-PBE.

crystal system	cubic
energy of formation from the pure elements	990	meV/atom

Lattice parameters (Å, degrees): 7.5020 7.5020 7.5020 90.00 90.00 90.00
Last column: nearest neighbours and their distance in Å.
Space group F-43m (No. 216)
Asymmetric unit:
Ag  0.0000  0.0000  0.0000  12 W 3.11, 4 P 3.25
P  0.2500  0.2500  0.7500  12 W 3.11, 4 Ag 3.25
W  0.1268  0.1268  0.3732  6 W 2.61-2.69

AgP4W: optimized geometry, GGA-PBE.

crystal system	cubic
energy of formation from the pure elements	894	meV/atom

Lattice parameters (Å, degrees): 7.0981 7.0981 7.0981 90.00 90.00 90.00
Last column: nearest neighbours and their distance in Å.
Space group F-43m (No. 216)
Asymmetric unit:
Ag  0.0000  0.0000  0.0000  12 P 2.95, 4 W 3.07
P  0.1230  0.1230  0.6230  6 P 2.47-2.55
W  0.2500  0.2500  0.2500  12 P 2.94, 4 Ag 3.07

AgPW: optimized geometry, GGA-PBE.

crystal system	tetragonal
energy of formation from the pure elements	258	meV/atom
E above lowest polymorph	0.016	eV/atom

Lattice parameters (Å, degrees): 3.0821 3.0821 10.1965 90.00 90.00 90.00
Last column: nearest neighbours and their distance in Å.
Space group I4mm (No. 107)
Asymmetric unit:
Ag  0.0000  0.0000  0.0000  5 P 2.91-3.18, 5 W 2.99-3.05, 4 Ag 3.08
P  0.0000  0.0000  0.3116  4 W 2.45
W  0.0000  0.0000  0.7008  4 P 2.45

Ag3PW: optimized geometry, GGA-PBE.

crystal system	cubic
energy of formation from the pure elements	2079	meV/atom
E above lowest polymorph	0.656	eV/atom

Lattice parameters (Å, degrees): 5.0544 5.0544 5.0544 90.00 90.00 90.00
Last column: nearest neighbours and their distance in Å.
Space group Pm-3m (No. 221)
Asymmetric unit:
Ag  0.0000  0.0000  0.5000  2 W 2.53
P  0.5000  0.5000  0.5000  12 Ag 3.57
W  0.0000  0.0000  0.0000  6 Ag 2.53

AgPW: optimized geometry, GGA-PBE.

crystal system	orthorhombic
energy of formation from the pure elements	393	meV/atom
E above lowest polymorph	0.151	eV/atom

Lattice parameters (Å, degrees): 3.2036 4.6396 13.7650 90.00 90.00 90.00
Last column: nearest neighbours and their distance in Å.
Space group Fmm2 (No. 42)
Asymmetric unit:
Ag  0.0000  0.0000  0.0000  4 Ag 2.82, 2 W 2.93, 2 P 3.08
P  0.0000  0.0000  0.3086  2 W 2.41
W  0.0000  0.0000  0.6780  2 P 2.41

Ag3PW: optimized geometry, GGA-PBE.

crystal system	cubic
energy of formation from the pure elements	1423	meV/atom
E above lowest polymorph	0.000	eV/atom

Lattice parameters (Å, degrees): 4.5999 4.5999 4.5999 90.00 90.00 90.00
Last column: nearest neighbours and their distance in Å.
Space group Pm-3m (No. 221)
Asymmetric unit:
Ag  0.0000  0.0000  0.5000  2 P 2.30
P  0.0000  0.0000  0.0000  6 Ag 2.30
W  0.5000  0.5000  0.5000  12 Ag 3.25

Repeat the tenth record exactly.
Ag3PW: optimized geometry, GGA-PBE.

crystal system	cubic
energy of formation from the pure elements	2079	meV/atom
E above lowest polymorph	0.656	eV/atom

Lattice parameters (Å, degrees): 5.0544 5.0544 5.0544 90.00 90.00 90.00
Last column: nearest neighbours and their distance in Å.
Space group Pm-3m (No. 221)
Asymmetric unit:
Ag  0.0000  0.0000  0.5000  2 W 2.53
P  0.5000  0.5000  0.5000  12 Ag 3.57
W  0.0000  0.0000  0.0000  6 Ag 2.53

> What is the energy of formation from the pure elements in the second record?

1115 meV/atom

> Which value of energy of formation from the pure elements does entry 4 give?

1906 meV/atom

> Which value of energy of formation from the pure elements does entry 1 give?

1462 meV/atom